# TlInAg2B

Crystalline TlInAg2B at its relaxed geometry (GGA-PBE, Alexandria via LeMat-Bulk).

Cell: 5.295 5.295 5.826 Å, 90.00 90.00 90.00°
Space group P4/mmm (No. 123)
Symmetry-distinct sites (fractional):
Tl (0.000, 0.000, 0.000)
In (0.000, 0.000, 0.500)
Ag (0.000, 0.500, 0.500)
B (0.500, 0.500, 0.000)

## Properties
Total DFT energy (no corrections) ... -10.35 eV for the cell shown
DFT formation energy ... 1.426 eV per atom
Volume ... 163 Å³/f.u.

# Ag2BIr

Crystalline Ag2BIr at its relaxed geometry (GGA-PBE, Alexandria via LeMat-Bulk).

Cell: 3.534 3.534 19.720 Å, 90.00 90.00 90.00°
Space group I-42d (No. 122)
Symmetry-distinct sites (fractional):
Ag (0.248, 0.250, 0.125)
B (0.000, 0.000, 0.000)
Ir (0.000, 0.000, 0.500)

## Properties
Total DFT energy (no corrections) ... -68.81 eV for the cell shown
DFT formation energy ... 1.010 eV per atom
Volume ... 62 Å³/f.u.

# AgB2Ir

Crystalline AgB2Ir at its relaxed geometry (GGA-PBE, Alexandria via LeMat-Bulk).

Cell: 5.639 5.639 5.639 Å, 90.00 90.00 90.00°
Space group Fm-3m (No. 225)
Symmetry-distinct sites (fractional):
Ag (0.000, 0.000, 0.000)
B (0.250, 0.250, 0.250)
Ir (0.000, 0.000, 0.500)

## Properties
Relative energy among the computed polymorphs ... 386 meV/atom
Total DFT energy (no corrections) ... -85.23 eV for the cell shown
DFT formation energy ... 0.940 eV per atom
Volume ... 45 Å³/f.u.

# AgB2Ir

Crystalline AgB2Ir at its relaxed geometry (GGA-PBE, Alexandria via LeMat-Bulk).

Cell: 4.951 4.951 9.735 Å, 90.00 90.00 90.00°
Space group I-42d (No. 122)
Symmetry-distinct sites (fractional):
Ag (0.000, 0.000, 0.000)
B (0.200, 0.250, 0.625)
Ir (0.000, 0.000, 0.500)

## Properties
Relative energy among the computed polymorphs ... 0 meV/atom
Total DFT energy (no corrections) ... -91.41 eV for the cell shown
DFT formation energy ... 0.554 eV per atom
Volume ... 60 Å³/f.u.

# AgB4Ir4

Crystalline AgB4Ir4 at its relaxed geometry (GGA-PBE, Alexandria via LeMat-Bulk).

Cell: 8.104 8.104 3.800 Å, 90.00 90.00 90.00°
Space group I4/m (No. 87)
Symmetry-distinct sites (fractional):
Ag (0.000, 0.000, 0.000)
B (0.107, 0.268, 0.000)
Ir (0.137, 0.673, 0.000)

## Properties
Total DFT energy (no corrections) ... -129.71 eV for the cell shown
DFT formation energy ... 0.017 eV per atom
Volume ... 125 Å³/f.u.

# MgAgBIr2

Crystalline MgAgBIr2 at its relaxed geometry (GGA-PBE, Alexandria via LeMat-Bulk).

Cell: 4.134 4.134 4.355 Å, 90.00 90.00 90.00°
Space group P4/mmm (No. 123)
Symmetry-distinct sites (fractional):
Mg (0.000, 0.000, 0.000)
Ag (0.500, 0.500, 0.000)
B (0.500, 0.500, 0.500)
Ir (0.000, 0.500, 0.500)

## Properties
Total DFT energy (no corrections) ... -29.46 eV for the cell shown
DFT formation energy ... -0.122 eV per atom
Volume ... 74 Å³/f.u.

# NaAgB2Ir

Crystalline NaAgB2Ir at its relaxed geometry (GGA-PBE, Alexandria via LeMat-Bulk).

Cell: 4.130 4.130 4.801 Å, 90.00 90.00 90.00°
Space group P4/mmm (No. 123)
Symmetry-distinct sites (fractional):
Na (0.000, 0.000, 0.000)
Ag (0.000, 0.000, 0.500)
B (0.000, 0.500, 0.500)
Ir (0.500, 0.500, 0.000)

## Properties
Total DFT energy (no corrections) ... -16.89 eV for the cell shown
DFT formation energy ... 1.899 eV per atom
Volume ... 82 Å³/f.u.

# NbAgBIr2

Crystalline NbAgBIr2 at its relaxed geometry (GGA-PBE, Alexandria via LeMat-Bulk).

Cell: 4.128 4.128 4.388 Å, 90.00 90.00 90.00°
Space group P4/mmm (No. 123)
Symmetry-distinct sites (fractional):
Nb (0.000, 0.000, 0.000)
Ag (0.500, 0.500, 0.000)
B (0.000, 0.000, 0.500)
Ir (0.000, 0.500, 0.500)

## Properties
Total DFT energy (no corrections) ... -36.83 eV for the cell shown
DFT formation energy ... 0.097 eV per atom
Volume ... 75 Å³/f.u.